ZrMn2Rh: single point on PBEsol structure, SCAN.

**Calculated volume**: 14.8 A^3/atom
**Density of states at the Fermi level**: 9.1 states/eV/cell

a b c (Å): 2.8023 2.8023 26.1635
angles (deg): 90.00 90.00 120.00
Space group R3m (No. 160, hexagonal axes)
Symmetry-distinct sites (fractional):
Zr 0.0000 0.0000 0.0000 (multiplicity 3)
Mn 0.0000 0.0000 0.4921 (multiplicity 3)
Mn 0.0000 0.0000 0.7577 (multiplicity 3)
Rh 0.0000 0.0000 0.9030 (multiplicity 3)

***

Zr2MnRh: single point on PBEsol structure, SCAN.

**Calculated volume**: 17.4 A^3/atom
**Density of states at the Fermi level**: 3.0 states/eV/cell

a b c (Å): 3.216 3.216 6.743
angles (deg): 90.00 90.00 90.00
Space group P4mm (No. 99)
Symmetry-distinct sites (fractional):
Zr 0.000 0.000 0.000 (multiplicity 1)
Zr 0.500 0.500 0.310 (multiplicity 1)
Mn 0.000 0.000 0.563 (multiplicity 1)
Rh 0.500 0.500 0.775 (multiplicity 1)

***

| no. | formation enthalpy at 0 K (eV/atom) |
| --- | --- |
| 1 | 0.0682 |
| 2 | -0.4140 |